An optimized crystal structure of ZnTeRu2, computed with PBE-GGA.

The structure in POSCAR format:
```
ZnTeRu2
1.0
3.0281 0.0000 0.0000
0.0000 3.0281 0.0000
0.0000 0.0000 8.1473
Zn Te Ru
1 1 2
Direct
0.0000 0.0000 0.0000
0.5000 0.5000 0.6017
0.0000 0.0000 0.3897
0.5000 0.5000 0.1815
```

Output
DOS at the Fermi energy: 4.8 states/eV per cell
Space group: No. 99
Formation energy (no corrections): 0.26 eV per atom
Energy relative to the lowest polymorph listed for this composition: 0.201 eV/atom



An optimized crystal structure of Zn2TeRu, computed with PBE-GGA.

The structure in POSCAR format:
```
Zn2TeRu
1.0
-2.0439 2.0439 4.0362
2.0439 -2.0439 4.0362
2.0439 2.0439 -4.0362
Zn Te Ru
2 1 1
Direct
0.0000 0.0000 0.0000
0.7500 0.2500 0.5000
0.2500 0.7500 0.5000
0.5000 0.5000 0.0000
```

Output
DOS at the Fermi energy: 1.4 states/eV per cell
Space group: No. 119
Formation energy (no corrections): 0.22 eV per atom



An optimized crystal structure of ZnTeRu2, computed with PBE-GGA.

The structure in POSCAR format:
```
ZnTeRu2
1.0
0.0000 3.2037 3.2037
3.2037 0.0000 3.2037
3.2037 3.2037 0.0000
Zn Te Ru
1 1 2
Direct
0.0000 0.0000 0.0000
0.7500 0.7500 0.7500
0.2500 0.2500 0.2500
0.5000 0.5000 0.5000
```

Output
DOS at the Fermi energy: 3.6 states/eV per cell
Space group: No. 216
Formation energy (no corrections): 0.46 eV per atom
Energy relative to the lowest polymorph listed for this composition: 0.408 eV/atom



An optimized crystal structure of ZnTeRu2, computed with PBE-GGA.

The structure in POSCAR format:
```
ZnTeRu2
1.0
4.7069 -1.5613 0.0000
4.7069 1.5613 0.0000
-1.3280 0.0000 4.3369
Zn Te Ru
1 1 2
Direct
0.0000 0.0000 0.0000
0.7629 0.7629 0.3846
0.2600 0.2600 0.9040
0.5043 0.5043 0.5079
```

Output
DOS at the Fermi energy: 2.5 states/eV per cell
Space group: No. 8
Formation energy (no corrections): 0.17 eV per atom
Energy relative to the lowest polymorph listed for this composition: 0.111 eV/atom



Please write out number 2 again, unchanged.
An optimized crystal structure of Zn2TeRu, computed with PBE-GGA.

The structure in POSCAR format:
```
Zn2TeRu
1.0
-2.0439 2.0439 4.0362
2.0439 -2.0439 4.0362
2.0439 2.0439 -4.0362
Zn Te Ru
2 1 1
Direct
0.0000 0.0000 0.0000
0.7500 0.2500 0.5000
0.2500 0.7500 0.5000
0.5000 0.5000 0.0000
```

Output
DOS at the Fermi energy: 1.4 states/eV per cell
Space group: No. 119
Formation energy (no corrections): 0.22 eV per atom